VASP calculation (PBE) on an optimized crystal structure of Tm4TlN.

The crystal system is monoclinic. The value obtained for the density of states at the Fermi level is 0.65 states/eV per atom. The value obtained for the uncorrected formation energy is -0.64 eV/atom.

The structure belongs to space group C2/c (No. 15); the cell edges are 15.449, 5.583 and 7.013 Å and the angles 90.00°, 106.95° and 90.00°. Symmetry generates all atoms from Tm at (0.116, 0.029, 0.423), Tm at (0.193, 0.487, 0.203), Tl at (0.000, 0.471, 0.750) and N at (0.250, 0.250, 0.500).